(1)
Cr2MoAu: optimized geometry, PBE.

Values from the calculation:
Formation enthalpy at 0 K: 0.36 eV per atom
Distance to the lowest polymorph of the same formula: 133 meV/atom

Geometry as POSCAR:
```
Cr2MoAu
1.0
4.082 0.000 0.000
0.000 2.694 0.045
0.000 1.580 5.457
Mo Cr Au
1 2 1
Cartesian
2.041 1.068 1.375
0.000 2.022 2.469
0.000 0.115 0.282
2.041 3.205 4.126
```

(2)
Cr2MoAu: optimized geometry, PBE.

Values from the calculation:
Formation enthalpy at 0 K: 0.32 eV per atom
Distance to the lowest polymorph of the same formula: 88 meV/atom

Geometry as POSCAR:
```
Cr2MoAu
1.0
4.926 0.002 0.003
2.029 4.489 -0.003
-3.092 -2.842 2.574
Mo Cr Au
1 2 1
Cartesian
3.602 2.326 0.000
2.750 -0.236 1.289
6.785 4.381 0.000
1.158 1.914 1.286
```

(3)
Cr2MoAu: optimized geometry, PBE.

Values from the calculation:
Formation enthalpy at 0 K: 0.76 eV per atom
Distance to the lowest polymorph of the same formula: 536 meV/atom

Geometry as POSCAR:
```
Cr2MoAu
1.0
-3.067 -6.038 -1.197
5.434 -2.027 -3.697
2.376 -5.103 -0.106
Au Cr Mo
2 4 2
Cartesian
0.246 -7.587 -1.875
0.000 0.000 0.000
-0.573 -5.163 -1.209
3.728 -10.838 -4.276
2.796 -6.899 -2.000
3.536 -3.437 -2.514
1.183 -4.033 -2.447
4.497 -5.581 -3.125
```

(4)
CrMoAu2: optimized geometry, PBE.

Values from the calculation:
Formation enthalpy at 0 K: 0.44 eV per atom
Distance to the lowest polymorph of the same formula: 201 meV/atom

Geometry as POSCAR:
```
CrMoAu2
1.0
-1.114 2.534 3.610
-4.277 1.460 0.521
-2.616 -1.748 3.286
Mo Au Cr
1 2 1
Cartesian
-6.005 1.685 5.563
-2.002 0.562 1.854
0.000 0.000 0.000
-4.003 1.123 3.709
```

(5)
Cr2MoAu: optimized geometry, PBE.

Values from the calculation:
Formation enthalpy at 0 K: 0.26 eV per atom
Distance to the lowest polymorph of the same formula: 36 meV/atom

Geometry as POSCAR:
```
Cr2MoAu
1.0
-0.960 -1.984 1.491
1.861 -0.985 -1.627
6.006 1.549 5.931
Au Cr Mo
1 2 1
Cartesian
5.025 -0.305 4.449
1.862 -1.121 1.326
0.161 0.042 0.159
2.862 0.738 2.826
```

(6)
CrMoAu: optimized geometry, PBE.

Values from the calculation:
Formation enthalpy at 0 K: 0.35 eV per atom
Distance to the lowest polymorph of the same formula: 75 meV/atom

Geometry as POSCAR:
```
CrMoAu
1.0
-0.339 0.755 2.866
-2.351 -0.926 -1.587
3.544 -17.716 5.083
Mo Cr Au
3 3 3
Cartesian
1.263 -6.312 1.811
1.434 -12.023 4.888
-1.599 -0.772 0.014
-0.723 -5.149 1.270
2.310 -16.399 6.143
2.138 -10.689 3.067
-0.477 -2.468 2.146
0.034 -8.933 2.356
2.895 -14.473 4.153
```

(7)
CrMoAu: optimized geometry, PBE.

Values from the calculation:
Formation enthalpy at 0 K: 0.31 eV per atom
Distance to the lowest polymorph of the same formula: 40 meV/atom

Geometry as POSCAR:
```
CrMoAu
1.0
-1.136 6.815 0.342
-3.600 5.701 -0.036
0.275 0.635 2.641
Cr Mo Au
1 1 1
Cartesian
-1.350 4.489 1.884
-3.133 8.715 1.053
-4.714 12.463 0.317
```

(8)
CrMoAu2: optimized geometry, PBE.

Values from the calculation:
Formation enthalpy at 0 K: 0.24 eV per atom
Distance to the lowest polymorph of the same formula: 0 meV/atom

Geometry as POSCAR:
```
CrMoAu2
1.0
2.809 0.000 0.000
0.000 2.809 0.000
0.000 0.000 8.308
Au Mo Cr
2 1 1
Cartesian
0.000 0.000 8.214
1.405 1.405 2.229
1.405 1.405 6.089
0.000 0.000 4.237
```

(9)
Cr2Mo2Au: optimized geometry, PBE.

Values from the calculation:
Formation enthalpy at 0 K: 0.50 eV per atom
Distance to the lowest polymorph of the same formula: 0 meV/atom

Geometry as POSCAR:
```
Cr2Mo2Au
1.0
7.294 0.000 0.000
0.000 7.294 0.000
0.000 0.000 2.868
Cr Mo Au
4 4 2
Cartesian
2.511 1.136 1.434
6.158 2.511 1.434
4.783 6.158 1.434
1.136 4.783 1.434
4.678 1.031 0.000
1.031 2.616 0.000
2.616 6.263 0.000
6.263 4.678 0.000
0.000 0.000 0.000
3.647 3.647 0.000
```

(10)
CrMoAu2: optimized geometry, PBE.

Values from the calculation:
Formation enthalpy at 0 K: 0.32 eV per atom
Distance to the lowest polymorph of the same formula: 84 meV/atom

Geometry as POSCAR:
```
CrMoAu2
1.0
-2.930 1.342 -2.661
0.414 -2.319 -1.625
-3.408 -4.998 1.233
Au Mo Cr
2 1 1
Cartesian
-1.498 -3.657 -0.194
-3.407 -5.000 1.231
-3.711 -4.817 -1.625
-2.214 -1.158 -1.429
```

(11)
Cr2MoAu: optimized geometry, PBE.

Values from the calculation:
Formation enthalpy at 0 K: 0.46 eV per atom
Distance to the lowest polymorph of the same formula: 238 meV/atom

Geometry as POSCAR:
```
Cr2MoAu
1.0
-3.200 -2.931 0.718
-1.943 -2.011 -3.395
0.728 -4.275 -0.734
Cr Au Mo
2 1 1
Cartesian
0.000 0.000 0.000
-1.104 -2.304 -0.853
-2.208 -4.608 -1.705
-3.311 -6.912 -2.558
```

(12)
CrMoAu: optimized geometry, PBE.

Values from the calculation:
Formation enthalpy at 0 K: 0.27 eV per atom
Distance to the lowest polymorph of the same formula: 0 meV/atom

Geometry as POSCAR:
```
CrMoAu
1.0
6.649 0.000 0.002
0.000 3.058 0.000
-0.677 0.000 4.579
Mo Cr Au
2 2 2
Cartesian
0.365 1.529 1.122
0.027 0.000 3.412
4.831 1.529 3.167
5.170 0.000 0.877
2.694 0.000 2.140
2.356 1.529 4.430
```